A relaxed Cd2TeO5 crystal, computed with GGA-PBE.

Values from the calculation:
Total DFT energy (no corrections) in eV for the cell shown: -76.63
Space group: C2/c
ΔE_f (raw) in eV/atom: -1.07
Calculated volume in Å³ per atom: 13.48

POSCAR file:
```
Cd2TeO5
1.0
5.613 -2.703 0.000
5.613 2.703 0.000
-2.645 0.000 7.106
Cd Te O
4 2 10
Cartesian
0.990 0.128 2.249 Cd
-0.332 -0.128 5.802 Cd
8.914 0.128 1.304 Cd
7.592 -0.128 4.857 Cd
5.613 0.000 0.000 Te
4.291 0.000 3.553 Te
1.730 1.457 7.005 O
2.908 1.145 2.781 O
5.530 1.457 3.654 O
3.630 0.710 5.329 O
6.996 1.145 0.772 O
1.586 -1.145 6.334 O
4.952 -0.710 1.776 O
3.052 -1.457 3.452 O
5.674 -1.145 4.325 O
6.852 -1.457 0.101 O
```